1.
# Al5Ag7

A crystal of Al5Ag7 relaxed with PBEsol (SCAN, the Alexandria database).

Unit cell a=4.9896 b=4.9809 c=8.2695 alpha=90.00 beta=90.00 gamma=109.60
Atoms (fractional coordinates):
1 Ag 0.0000 0.0000 0.9857
2 Ag 0.0000 0.5000 0.5065
3 Ag 0.5000 0.5000 0.9966
4 Ag 0.0000 0.0000 0.3420
5 Ag 0.0000 0.5000 0.1658
6 Ag 0.5000 0.0000 0.1749
7 Ag 0.5000 0.5000 0.6604
8 Al 0.0000 0.5000 0.8368
9 Al 0.0000 0.0000 0.6654
10 Al 0.5000 0.0000 0.5025
11 Al 0.5000 0.0000 0.8395
12 Al 0.5000 0.5000 0.3237

Calculated values
total magnetic moment	0.011	μB/cell
ΔH_f (0 K)	-0.94	eV per formula unit
DOS(E_F)	0.273	states/eV/atom

---

2.
# CoSiHg

A crystal of CoSiHg relaxed with PBEsol (SCAN, the Alexandria database).

Unit cell a=2.6603 b=3.6586 c=5.7411 alpha=108.58 beta=103.40 gamma=90.00
Atoms (fractional coordinates):
1 Hg 0.3319 0.3319 0.6639
2 Co 0.0868 0.0868 0.1735
3 Si 0.5813 0.5813 0.1626

Calculated values
total magnetic moment	0.000	μB/cell
E_form (uncorrected)	0.238	eV per atom
DOS(E_F)	0.494	states/eV/atom

---

3.
# K2ZnGeF

A crystal of K2ZnGeF relaxed with PBEsol (SCAN, the Alexandria database).

Unit cell a=3.9784 b=6.4130 c=6.4130 alpha=90.00 beta=90.00 gamma=90.00
Atoms (fractional coordinates):
1 Zn 0.0000 0.0000 0.0000
2 K 0.0000 0.5000 0.0000
3 K 0.0000 0.0000 0.5000
4 Ge 0.5000 0.5000 0.5000
5 F 0.5000 0.0000 0.0000

Calculated values
total magnetic moment	1.611	μB/cell
E_form (uncorrected)	-0.258	eV per atom
DOS(E_F)	0.437	states/eV/atom

---

4.
# Zr5Co19P12

A crystal of Zr5Co19P12 relaxed with PBEsol (SCAN, the Alexandria database).

Unit cell a=3.5555 b=11.6725 c=11.6725 alpha=120.00 beta=90.00 gamma=90.00
Atoms (fractional coordinates):
1 Zr 0.5000 0.3333 0.6667
2 Zr 0.0000 0.0000 0.8155
3 Zr 0.5000 0.6667 0.3333
4 Zr 0.0000 0.1845 0.1845
5 Zr 0.0000 0.8155 0.0000
6 P 0.0000 0.8349 0.3177
7 P 0.0000 0.3177 0.8349
8 P 0.0000 0.4828 0.1651
9 P 0.0000 0.6823 0.5172
10 P 0.5000 0.1777 0.0000
11 P 0.0000 0.5172 0.6823
12 P 0.5000 0.0000 0.1777
13 P 0.5000 0.3625 0.3625
14 P 0.5000 0.0000 0.6375
15 P 0.5000 0.6375 0.0000
16 P 0.0000 0.1651 0.4828
17 P 0.5000 0.8223 0.8223
18 Co 0.0000 0.5173 0.8726
19 Co 0.5000 0.1787 0.3768
20 Co 0.0000 0.4827 0.3553
21 Co 0.0000 0.2846 0.0000
22 Co 0.5000 0.6232 0.8019
23 Co 0.5000 0.4508 0.0000
24 Co 0.5000 0.8019 0.6232
25 Co 0.5000 0.3768 0.1787
26 Co 0.5000 0.0000 0.4508
27 Co 0.5000 0.0000 0.0000
28 Co 0.0000 0.7154 0.7154
29 Co 0.0000 0.6447 0.1274
30 Co 0.5000 0.5492 0.5492
31 Co 0.0000 0.0000 0.2846
32 Co 0.5000 0.1981 0.8213
33 Co 0.0000 0.8726 0.5173
34 Co 0.5000 0.8213 0.1981
35 Co 0.0000 0.3553 0.4827
36 Co 0.0000 0.1274 0.6447

Calculated values
total magnetic moment	11.732	μB/cell
ΔH_f (0 K)	-31.00	eV per formula unit
DOS(E_F)	0.372	states/eV/atom

---

5.
# LaTcPb

A crystal of LaTcPb relaxed with PBEsol (SCAN, the Alexandria database).

Unit cell a=4.8628 b=4.8628 c=4.8628 alpha=60.00 beta=60.00 gamma=60.00
Atoms (fractional coordinates):
1 La 0.5000 0.5000 0.5000
2 Tc 0.0000 0.0000 0.0000
3 Pb 0.2500 0.2500 0.2500

Calculated values
total magnetic moment	0.444	μB/cell
ΔH_f (0 K)	1.44	eV per formula unit
DOS(E_F)	0.881	states/eV/atom

---

6.
# NaZn3Pb

A crystal of NaZn3Pb relaxed with PBEsol (SCAN, the Alexandria database).

Unit cell a=4.9555 b=4.9555 c=4.9555 alpha=90.00 beta=90.00 gamma=90.00
Atoms (fractional coordinates):
1 Zn 0.0000 0.0000 0.5000
2 Zn 0.5000 0.0000 0.0000
3 Zn 0.0000 0.5000 0.0000
4 Na 0.0000 0.0000 0.0000
5 Pb 0.5000 0.5000 0.5000

Calculated values
total magnetic moment	0.000	μB/cell
ΔH_f (0 K)	3.96	eV per formula unit
DOS(E_F)	0.400	states/eV/atom

---

7.
# RbZn3P

A crystal of RbZn3P relaxed with PBEsol (SCAN, the Alexandria database).

Unit cell a=4.9349 b=4.9349 c=4.9349 alpha=90.00 beta=90.00 gamma=90.00
Atoms (fractional coordinates):
1 Rb 0.5000 0.5000 0.5000
2 P 0.0000 0.0000 0.0000
3 Zn 0.0000 0.5000 0.0000
4 Zn 0.0000 0.0000 0.5000
5 Zn 0.5000 0.0000 0.0000

Calculated values
total magnetic moment	0.000	μB/cell
ΔH_f (0 K)	1.80	eV per formula unit
DOS(E_F)	0.413	states/eV/atom

---

8.
# LaMg2CoH

A crystal of LaMg2CoH relaxed with PBEsol (SCAN, the Alexandria database).

Unit cell a=4.8193 b=4.8193 c=4.9693 alpha=90.00 beta=90.00 gamma=90.00
Atoms (fractional coordinates):
1 Co 0.0000 0.0000 0.0000
2 Mg 0.0000 0.5000 0.0000
3 Mg 0.5000 0.0000 0.0000
4 La 0.0000 0.0000 0.5000
5 H 0.5000 0.5000 0.5000

Calculated values
total magnetic moment	0.000	μB/cell
DFT total energy	-14.47	eV per atom
DOS(E_F)	0.533	states/eV/atom

---

9.
# ZrGaTe3

A crystal of ZrGaTe3 relaxed with PBEsol (SCAN, the Alexandria database).

Unit cell a=5.1872 b=5.1872 c=5.1872 alpha=90.00 beta=90.00 gamma=90.00
Atoms (fractional coordinates):
1 Zr 0.5000 0.5000 0.5000
2 Te 0.0000 0.5000 0.0000
3 Te 0.5000 0.0000 0.0000
4 Te 0.0000 0.0000 0.5000
5 Ga 0.0000 0.0000 0.0000

Calculated values
total magnetic moment	0.861	μB/cell
E_form (uncorrected)	0.378	eV per atom
DOS(E_F)	0.938	states/eV/atom

---

10.
# ScTcS3

A crystal of ScTcS3 relaxed with PBEsol (SCAN, the Alexandria database).

Unit cell a=4.5572 b=4.5572 c=4.5572 alpha=90.00 beta=90.00 gamma=90.00
Atoms (fractional coordinates):
1 S 0.0000 0.0000 0.5000
2 S 0.0000 0.5000 0.0000
3 S 0.5000 0.0000 0.0000
4 Tc 0.0000 0.0000 0.0000
5 Sc 0.5000 0.5000 0.5000

Calculated values
total magnetic moment	2.260	μB/cell
E_form (uncorrected)	-0.389	eV per atom
DOS(E_F)	0.390	states/eV/atom

---

11.
# Sr3Ta2ZnO9

A crystal of Sr3Ta2ZnO9 relaxed with PBEsol (SCAN, the Alexandria database).

Unit cell a=5.6559 b=5.6559 c=6.9679 alpha=90.00 beta=90.00 gamma=120.00
Atoms (fractional coordinates):
1 O 0.8307 0.1693 0.6735
2 O 0.6613 0.8307 0.3265
3 O 0.1693 0.8307 0.3265
4 O 0.1693 0.3387 0.3265
5 O 0.0000 0.5000 0.0000
6 O 0.3387 0.1693 0.6735
7 O 0.5000 0.0000 0.0000
8 O 0.8307 0.6613 0.6735
9 O 0.5000 0.5000 0.0000
10 Ta 0.3333 0.6667 0.1766
11 Ta 0.6667 0.3333 0.8234
12 Zn 0.0000 0.0000 0.5000
13 Sr 0.0000 0.0000 0.0000
14 Sr 0.6667 0.3333 0.3410
15 Sr 0.3333 0.6667 0.6590

Calculated values
total magnetic moment	0.000	μB/cell
E_form (uncorrected)	-3.083	eV per atom
DOS(E_F)	0.000	states/eV/atom

---

12.
# MgSi2Ag

A crystal of MgSi2Ag relaxed with PBEsol (SCAN, the Alexandria database).

Unit cell a=3.4401 b=3.4401 c=5.5813 alpha=90.00 beta=90.00 gamma=90.00
Atoms (fractional coordinates):
1 Si 0.0000 0.0000 0.0370
2 Si 0.5000 0.5000 0.2160
3 Ag 0.0000 0.0000 0.5039
4 Mg 0.5000 0.5000 0.7431

Calculated values
total magnetic moment	0.000	μB/cell
E_form (uncorrected)	0.262	eV per atom
DOS(E_F)	0.335	states/eV/atom

---

13.
# Hg3H6PtN2Cl8

A crystal of Hg3H6PtN2Cl8 relaxed with PBEsol (SCAN, the Alexandria database).

Unit cell a=6.5648 b=9.7694 c=12.4569 alpha=98.96 beta=90.00 gamma=109.63
Atoms (fractional coordinates):
1 Hg 0.0000 0.0000 0.5000
2 Hg 0.0000 0.0000 0.0000
3 Hg 0.1868 0.4002 0.9238
4 Hg 0.8132 0.5998 0.0762
5 Hg 0.2134 0.4002 0.4238
6 Hg 0.7866 0.5998 0.5762
7 Cl 0.5388 0.5181 0.3503
8 Cl 0.4612 0.4819 0.6497
9 Cl 0.0994 0.1713 0.2244
10 Cl 0.6417 0.8746 0.5370
11 Cl 0.0207 0.4819 0.1497
12 Cl 0.1218 0.7015 0.5053
13 Cl 0.8782 0.2985 0.4947
14 Cl 0.9280 0.8287 0.2756
15 Cl 0.5798 0.7015 0.0053
16 Cl 0.9793 0.5181 0.8503
17 Cl 0.4202 0.2985 0.9947
18 Cl 0.3583 0.1254 0.4630
19 Cl 0.0720 0.1713 0.7244
20 Cl 0.7671 0.1254 0.9630
21 Cl 0.2329 0.8746 0.0370
22 Cl 0.9006 0.8287 0.7756
23 H 0.4862 0.8968 0.8395
24 H 0.3754 0.8228 0.2078
25 H 0.5526 0.1772 0.2922
26 H 0.2578 0.7583 0.7952
27 H 0.7422 0.2417 0.2048
28 H 0.5005 0.7583 0.2952
29 H 0.4106 0.8968 0.3395
30 H 0.4995 0.2417 0.7048
31 H 0.5138 0.1032 0.1605
32 H 0.6246 0.1772 0.7922
33 H 0.5894 0.1032 0.6605
34 H 0.4474 0.8228 0.7078
35 N 0.4813 0.8524 0.2755
36 N 0.5187 0.1476 0.7245
37 N 0.6289 0.1476 0.2245
38 N 0.3711 0.8524 0.7755
39 Pt 0.7734 0.0000 0.2500
40 Pt 0.2266 0.0000 0.7500

Calculated values
total magnetic moment	0.013	μB/cell
DFT total energy	-19.50	eV per atom
DOS(E_F)	0.000	states/eV/atom

---

14.
# Cd2PW

A crystal of Cd2PW relaxed with PBEsol (SCAN, the Alexandria database).

Unit cell a=3.2685 b=4.5953 c=5.5682 alpha=112.90 beta=90.00 gamma=110.83
Atoms (fractional coordinates):
1 Cd 0.9944 0.9889 0.0032
2 Cd 0.7861 0.5722 0.2485
3 W 0.2097 0.4194 0.6201
4 P 0.5098 0.0195 0.6282

Calculated values
total magnetic moment	0.000	μB/cell
ΔH_f (0 K)	1.34	eV per formula unit
DOS(E_F)	0.380	states/eV/atom

---

15.
# InRhBr2

A crystal of InRhBr2 relaxed with PBEsol (SCAN, the Alexandria database).

Unit cell a=3.3603 b=5.8753 c=5.8753 alpha=73.76 beta=73.38 gamma=73.38
Atoms (fractional coordinates):
1 In 0.4799 0.5201 0.5201
2 Br 0.2175 0.2825 0.2825
3 Br 0.0561 0.9439 0.9439
4 Rh 0.7465 0.7535 0.7535

Calculated values
total magnetic moment	0.000	μB/cell
E_form (uncorrected)	-0.110	eV per atom

---

16.
# Ca2RhCl

A crystal of Ca2RhCl relaxed with PBEsol (SCAN, the Alexandria database).

Unit cell a=3.3957 b=4.7256 c=5.5460 alpha=90.00 beta=107.83 gamma=90.00
Atoms (fractional coordinates):
1 Rh 0.2657 0.0000 0.5314
2 Cl 0.4820 0.5000 0.9639
3 Ca 0.7459 0.5000 0.4919
4 Ca 0.0064 0.0000 0.0128

Calculated values
total magnetic moment	0.000	μB/cell
E_form (uncorrected)	-1.055	eV per atom
DOS(E_F)	0.158	states/eV/atom

---

17.
# NaLiTl2

A crystal of NaLiTl2 relaxed with PBEsol (SCAN, the Alexandria database).

Unit cell a=5.0911 b=5.0911 c=5.0911 alpha=60.00 beta=60.00 gamma=60.00
Atoms (fractional coordinates):
1 Li 0.0000 0.0000 0.0000
2 Tl 0.7500 0.7500 0.7500
3 Tl 0.2500 0.2500 0.2500
4 Na 0.5000 0.5000 0.5000

Calculated values
total magnetic moment	0.000	μB/cell
ΔH_f (0 K)	-0.89	eV per formula unit
DOS(E_F)	0.389	states/eV/atom

---

18.
# LaZnW2

A crystal of LaZnW2 relaxed with PBEsol (SCAN, the Alexandria database).

Unit cell a=2.7514 b=2.7514 c=9.4819 alpha=90.00 beta=90.00 gamma=90.00
Atoms (fractional coordinates):
1 Zn 0.5000 0.5000 0.0000
2 La 0.5000 0.5000 0.5000
3 W 0.0000 0.0000 0.7900
4 W 0.0000 0.0000 0.2100

Calculated values
total magnetic moment	0.000	μB/cell
ΔH_f (0 K)	2.81	eV per formula unit
DOS(E_F)	0.629	states/eV/atom

---

19.
# Y4CI5

A crystal of Y4CI5 relaxed with PBEsol (SCAN, the Alexandria database).

Unit cell a=3.8986 b=8.4380 c=9.3608 alpha=102.62 beta=102.02 gamma=90.00
Atoms (fractional coordinates):
1 Y 0.6345 0.0668 0.2690
2 Y 0.9993 0.1912 0.9987
3 Y 0.3655 0.9332 0.7310
4 Y 0.0007 0.8088 0.0013
5 I 0.8290 0.1820 0.6579
6 I 0.1710 0.8180 0.3421
7 I 0.1666 0.3465 0.3332
8 I 0.5000 0.5000 0.0000
9 I 0.8334 0.6535 0.6668
10 C 0.5000 0.0000 0.0000

Calculated values
total magnetic moment	0.000	μB/cell
E_form (uncorrected)	-1.257	eV per atom
DOS(E_F)	0.476	states/eV/atom

---

20.
# AlFe2Sb

A crystal of AlFe2Sb relaxed with PBEsol (SCAN, the Alexandria database).

Unit cell a=3.3115 b=3.9791 c=4.9388 alpha=113.76 beta=109.59 gamma=90.00
Atoms (fractional coordinates):
1 Fe 0.7405 0.2405 0.4809
2 Fe 0.0109 0.0109 0.0219
3 Al 0.2591 0.7591 0.5181
4 Sb 0.4895 0.4895 0.9791

Calculated values
total magnetic moment	3.769	μB/cell
E_form (uncorrected)	0.085	eV per atom
DOS(E_F)	0.378	states/eV/atom